Here is crystalline La6TlRh3 at its relaxed geometry from the Alexandria database. Energies are from PBE.

abc: 12.203 4.185 12.665
angles: 90.00 107.43 90.00
Sites, in units of the cell vectors:
La 0.022 0.250 0.388
La 0.111 0.250 0.948
La 0.205 0.750 0.255
La 0.291 0.750 0.764
La 0.349 0.250 0.530
La 0.421 0.750 0.085
La 0.579 0.250 0.915
La 0.651 0.750 0.470
La 0.709 0.250 0.236
La 0.795 0.250 0.745
La 0.889 0.750 0.052
La 0.978 0.750 0.612
Tl 0.449 0.250 0.306
Tl 0.551 0.750 0.694
Rh 0.041 0.250 0.161
Rh 0.176 0.750 0.489
Rh 0.344 0.250 0.919
Rh 0.656 0.750 0.081
Rh 0.824 0.250 0.511
Rh 0.959 0.750 0.839

Results
Space-group type = P2_1/m
DOS at the Fermi energy = 6.908 states/eV/f.u.
Calculated formation energy = -0.581 eV per atom
Volume = 30.9 A^3/atom
Density = 7.25 g cm⁻³